VASP calculation (PBE+U) on a geometry-optimized TeWNF2 structure.

a = 4.575 Å, b = 4.575 Å, c = 4.245 Å
α = 90.00°, β = 90.00°, γ = 90.00°
Site moments in Bohr magnetons follow the coordinates.
Positions (direct):
N  0.000  0.000  0.500  -0.02
Te  0.000  0.000  0.000  0.00
W  0.500  0.500  0.500  3.79
F  0.000  0.500  0.000  0.06
F  0.500  0.000  0.000  0.06

Calculated values
Total moment   4.681 μB per formula unit
E above lowest polymorph   0.890 eV/atom
Uncorrected energy   -4.1984 eV per atom
Crystal system   tetragonal
Space group   P4/mmm